Entry from Alexandria: crystalline Pr2ZnAs4Pd3 at its relaxed geometry (GGA-PBE).

Calculated values
Calculated total energy = -5.288 eV per atom

abc: 4.4599 4.4599 10.0656
angles: 90.00 90.00 90.00
Atoms (fractional coordinates):
Pr: 0.0000 0.5000 0.2416
Pr: 0.5000 0.0000 0.7584
Zn: 0.0000 0.0000 0.5000
As: 0.0000 0.0000 0.0000
As: 0.0000 0.5000 0.6328
As: 0.5000 0.0000 0.3672
As: 0.5000 0.5000 0.0000
Pd: 0.0000 0.5000 0.8780
Pd: 0.5000 0.0000 0.1220
Pd: 0.5000 0.5000 0.5000


Entry from Alexandria: crystalline Pr2ZrAs4Pd3 at its relaxed geometry (GGA-PBE).

Calculated values
Calculated total energy = -6.132 eV per atom

abc: 4.4277 4.4277 10.6278
angles: 90.00 90.00 90.00
Atoms (fractional coordinates):
Pr: 0.0000 0.5000 0.2236
Pr: 0.5000 0.0000 0.7764
Zr: 0.0000 0.0000 0.5000
As: 0.0000 0.0000 0.0000
As: 0.0000 0.5000 0.6437
As: 0.5000 0.0000 0.3563
As: 0.5000 0.5000 0.0000
Pd: 0.0000 0.5000 0.8786
Pd: 0.5000 0.0000 0.1214
Pd: 0.5000 0.5000 0.5000


Entry from Alexandria: crystalline AsPdPt2 at its relaxed geometry (GGA-PBE).

Calculated values
Calculated total energy = -5.650 eV per atom

abc: 5.7025 5.7025 5.7025
angles: 102.27 102.27 125.10
Atoms (fractional coordinates):
As: 0.0000 0.0000 0.0000
As: 0.7500 0.2500 0.5000
Pd: 0.2500 0.7500 0.5000
Pd: 0.5000 0.5000 0.0000
Pt: 0.0898 0.6250 0.9648
Pt: 0.3750 0.3398 0.4648
Pt: 0.6602 0.1250 0.0352
Pt: 0.8750 0.9102 0.5352


| no. | energy of formation from the pure elements (meV/atom) | calculated density (g cm⁻³) |
| --- | --- | --- |
| 1 | -787 | 8.01 |
| 2 | -903 | 7.91 |
| 3 | -169 | 14.10 |